[1]
# Li4NiBr | the Alexandria database | PBE-GGA | optimized geometry
data_Li4NiBr
_cell_length_a 7.394
_cell_length_b 7.394
_cell_length_c 7.394
_cell_angle_alpha 90.00
_cell_angle_beta 90.00
_cell_angle_gamma 90.00
_symmetry_space_group_name_H-M 'F -4 3 m'
_symmetry_Int_Tables_number 216
_symmetry_space_group_name_Hall 'F -4 2 3'
loop_
_atom_site_label
_atom_site_type_symbol
_atom_site_fract_x
_atom_site_fract_y
_atom_site_fract_z
Li1 Li 0.124 0.124 0.124
Ni1 Ni 0.250 0.250 0.750
Br1 Br 0.000 0.000 0.500
# * N(E_F): 1.793 states/eV/f.u.
# * uncorrected formation energy: 0.15 eV per atom
# * M_tot: 2.91 μB per cell

[2]
# Li2NiBr | the Alexandria database | PBE-GGA | optimized geometry
data_Li2NiBr
_cell_length_a 3.202
_cell_length_b 3.921
_cell_length_c 10.950
_cell_angle_alpha 90.00
_cell_angle_beta 90.00
_cell_angle_gamma 90.00
_symmetry_space_group_name_H-M 'I m m 2'
_symmetry_Int_Tables_number 44
loop_
_symmetry_equiv_pos_as_xyz
'x,y,z'
'-x,-y,z'
'-x,y,z'
'x,-y,z'
'x+1/2,y+1/2,z+1/2'
'-x+1/2,-y+1/2,z+1/2'
'-x+1/2,y+1/2,z+1/2'
'x+1/2,-y+1/2,z+1/2'
loop_
_atom_site_label
_atom_site_type_symbol
_atom_site_fract_x
_atom_site_fract_y
_atom_site_fract_z
Li1 Li 0.000 0.000 0.000
Li2 Li 0.000 0.500 0.183
Ni1 Ni 0.000 0.000 0.457
Br1 Br 0.000 0.500 0.775
# * N(E_F): 1.594 states/eV/f.u.
# * uncorrected formation energy: -0.20 eV per atom
# * M_tot: 0.00 μB per cell

[3]
# Li2NiBr | the Alexandria database | PBE-GGA | optimized geometry
data_Li2NiBr
_cell_length_a 3.567
_cell_length_b 3.404
_cell_length_c 5.900
_cell_angle_alpha 90.00
_cell_angle_beta 107.10
_cell_angle_gamma 90.00
_symmetry_space_group_name_H-M 'P 1 m 1'
_symmetry_Int_Tables_number 6
loop_
_symmetry_equiv_pos_as_xyz
'x,y,z'
'x,-y,z'
loop_
_atom_site_label
_atom_site_type_symbol
_atom_site_fract_x
_atom_site_fract_y
_atom_site_fract_z
Li1 Li 0.000 0.000 0.000
Li2 Li 0.351 0.500 0.690
Ni1 Ni 0.770 0.000 0.523
Br1 Br 0.588 0.500 0.178
# * N(E_F): 2.831 states/eV/f.u.
# * uncorrected formation energy: -0.23 eV per atom
# * M_tot: 0.64 μB per cell

[4]
# Li2NiBr | the Alexandria database | PBE-GGA | optimized geometry
data_Li2NiBr
_cell_length_a 6.429
_cell_length_b 6.429
_cell_length_c 6.429
_cell_angle_alpha 90.00
_cell_angle_beta 90.00
_cell_angle_gamma 90.00
_symmetry_space_group_name_H-M 'F m -3 m'
_symmetry_Int_Tables_number 225
_symmetry_space_group_name_Hall '-F 4 2 3'
loop_
_atom_site_label
_atom_site_type_symbol
_atom_site_fract_x
_atom_site_fract_y
_atom_site_fract_z
Li1 Li 0.250 0.250 0.250
Ni1 Ni 0.000 0.000 0.000
Br1 Br 0.000 0.000 0.500
# * N(E_F): 4.173 states/eV/f.u.
# * uncorrected formation energy: -0.04 eV per atom
# * M_tot: 2.48 μB per cell

[5]
# Li2NiBr2 | the Alexandria database | PBE-GGA | optimized geometry
data_Li2NiBr2
_cell_length_a 4.465
_cell_length_b 4.465
_cell_length_c 12.216
_cell_angle_alpha 90.00
_cell_angle_beta 90.00
_cell_angle_gamma 90.00
_symmetry_space_group_name_H-M 'I 4/m m m'
_symmetry_Int_Tables_number 139
_symmetry_space_group_name_Hall '-I 4 2'
loop_
_atom_site_label
_atom_site_type_symbol
_atom_site_fract_x
_atom_site_fract_y
_atom_site_fract_z
Li1 Li 0.000 0.500 0.250
Ni1 Ni 0.000 0.000 0.000
Br1 Br 0.000 0.000 0.352
# * N(E_F): 7.540 states/eV/f.u.
# * uncorrected formation energy: -0.31 eV per atom
# * M_tot: 3.51 μB per cell

[6]
# LiNiBr2 | the Alexandria database | PBE-GGA | optimized geometry
data_LiNiBr2
_cell_length_a 3.538
_cell_length_b 3.542
_cell_length_c 16.766
_cell_angle_alpha 90.00
_cell_angle_beta 90.00
_cell_angle_gamma 90.00
_symmetry_space_group_name_H-M 'I m m 2'
_symmetry_Int_Tables_number 44
loop_
_symmetry_equiv_pos_as_xyz
'x,y,z'
'-x,-y,z'
'-x,y,z'
'x,-y,z'
'x+1/2,y+1/2,z+1/2'
'-x+1/2,-y+1/2,z+1/2'
'-x+1/2,y+1/2,z+1/2'
'x+1/2,-y+1/2,z+1/2'
loop_
_atom_site_label
_atom_site_type_symbol
_atom_site_fract_x
_atom_site_fract_y
_atom_site_fract_z
Li1 Li 0.000 0.000 0.000
Ni1 Ni 0.000 0.500 0.769
Br1 Br 0.000 0.000 0.502
Br2 Br 0.000 0.500 0.262
# * N(E_F): 4.243 states/eV/f.u.
# * uncorrected formation energy: -0.52 eV per atom
# * M_tot: 1.21 μB per cell

[7]
# LiNiBr2 | the Alexandria database | PBE-GGA | optimized geometry
data_LiNiBr2
_cell_length_a 4.777
_cell_length_b 4.777
_cell_length_c 3.344
_cell_angle_alpha 90.00
_cell_angle_beta 90.00
_cell_angle_gamma 90.00
_symmetry_space_group_name_H-M 'P 4/m m m'
_symmetry_Int_Tables_number 123
_symmetry_space_group_name_Hall '-P 4 2'
loop_
_atom_site_label
_atom_site_type_symbol
_atom_site_fract_x
_atom_site_fract_y
_atom_site_fract_z
Li1 Li 0.000 0.000 0.000
Ni1 Ni 0.500 0.500 0.000
Br1 Br 0.000 0.500 0.500
# * N(E_F): 2.411 states/eV/f.u.
# * uncorrected formation energy: -0.30 eV per atom
# * M_tot: 1.01 μB per cell

[8]
# LiNiBr2 | the Alexandria database | PBE-GGA | optimized geometry
data_LiNiBr2
_cell_length_a 5.136
_cell_length_b 3.559
_cell_length_c 5.748
_cell_angle_alpha 90.00
_cell_angle_beta 94.64
_cell_angle_gamma 90.00
_symmetry_space_group_name_H-M 'P 1 2/m 1'
_symmetry_Int_Tables_number 10
loop_
_symmetry_equiv_pos_as_xyz
'x,y,z'
'-x,-y,-z'
'-x,y,-z'
'x,-y,z'
loop_
_atom_site_label
_atom_site_type_symbol
_atom_site_fract_x
_atom_site_fract_y
_atom_site_fract_z
Li1 Li 0.000 0.000 0.000
Ni1 Ni 0.000 0.000 0.500
Br1 Br 0.222 0.500 0.737
# * uncorrected formation energy: -0.59 eV per atom
# * M_tot: 1.00 μB per cell

[9]
# Li3Ni5Br12 | the Alexandria database | PBE-GGA | optimized geometry
data_Li3Ni5Br12
_cell_length_a 15.893
_cell_length_b 15.893
_cell_length_c 15.893
_cell_angle_alpha 90.00
_cell_angle_beta 90.00
_cell_angle_gamma 90.00
_symmetry_space_group_name_H-M 'I a -3 d'
_symmetry_Int_Tables_number 230
_symmetry_space_group_name_Hall '-I 4bd 2c 3'
loop_
_atom_site_label
_atom_site_type_symbol
_atom_site_fract_x
_atom_site_fract_y
_atom_site_fract_z
Li1 Li 0.000 0.250 0.125
Ni1 Ni 0.000 0.000 0.000
Ni2 Ni 0.000 0.250 0.375
Br1 Br 0.027 0.054 0.650
# * N(E_F): 21.217 states/eV/f.u.
# * uncorrected formation energy: -0.53 eV per atom
# * M_tot: 72.42 μB per cell

[10]
# LiNiBr2 | the Alexandria database | PBE-GGA | optimized geometry
data_LiNiBr2
_cell_length_a 7.005
_cell_length_b 7.005
_cell_length_c 7.005
_cell_angle_alpha 90.00
_cell_angle_beta 90.00
_cell_angle_gamma 90.00
_symmetry_space_group_name_H-M 'F -4 3 m'
_symmetry_Int_Tables_number 216
_symmetry_space_group_name_Hall 'F -4 2 3'
loop_
_atom_site_label
_atom_site_type_symbol
_atom_site_fract_x
_atom_site_fract_y
_atom_site_fract_z
Li1 Li 0.000 0.000 0.000
Ni1 Ni 0.250 0.250 0.250
Br1 Br 0.000 0.000 0.500
Br2 Br 0.250 0.250 0.750
# * N(E_F): 9.850 states/eV/f.u.
# * uncorrected formation energy: 0.25 eV per atom
# * M_tot: 4.08 μB per cell